Run A
A plane-wave DFT calculation with PBE was carried out for crystalline Mg2MnHRh at its relaxed geometry.

The structure belongs to space group P4/mmm (No. 123); the cell edges are 4.371, 4.371 and 3.411 Å and the angles 90.00°, 90.00° and 90.00°. The asymmetric unit holds Mg at (0.000, 0.500, 0.000), Mn at (0.000, 0.000, 0.500), H at (0.000, 0.000, 0.000) and Rh at (0.500, 0.500, 0.500).

As for the volume: 65.2 Å³/f.u.

---

Run B
A plane-wave DFT calculation with PBE was carried out for crystalline Mg2MnHRh at its relaxed geometry.

The structure belongs to space group P4/mmm (No. 123); the cell edges are 4.363, 4.363 and 3.557 Å and the angles 90.00°, 90.00° and 90.00°. The asymmetric unit holds Mg at (0.000, 0.500, 0.000), Mn at (0.000, 0.000, 0.500), H at (0.500, 0.500, 0.000) and Rh at (0.500, 0.500, 0.500).

As for the volume: 67.7 Å³/f.u.

---

Pick run A: it beats the second-best structure by 0.030 eV/atom.

---

Run A
A plane-wave DFT calculation with PBE was carried out for crystalline Mg2MoH6 at its relaxed geometry.

The structure belongs to space group P4/mnc (No. 128); the cell edges are 4.905, 4.905 and 6.930 Å and the angles 90.00°, 90.00° and 90.00°. The asymmetric unit holds Mg at (0.000, 0.500, 0.250), Mo at (0.000, 0.000, 0.000), H at (0.000, 0.000, 0.261) and H at (0.174, 0.325, 0.500).

As for the volume: 83.4 Å³/f.u.

---

Run B
A plane-wave DFT calculation with PBE was carried out for crystalline Mg2MoH6 at its relaxed geometry.

The structure belongs to space group Fm-3m (No. 225); the cell edges are 6.871, 6.871 and 6.871 Å and the angles 90.00°, 90.00° and 90.00°. The asymmetric unit holds Mg at (0.250, 0.250, 0.250), Mo at (0.000, 0.000, 0.000) and H at (0.000, 0.000, 0.262).

As for the volume: 81.1 Å³/f.u.

---

Pick run A: it beats the second-best structure by 0.023 eV/atom.

---

Run A
A plane-wave DFT calculation with PBE was carried out for crystalline MgMoH3 at its relaxed geometry.

The structure belongs to space group Pm-3m (No. 221); the cell edges are 3.569, 3.569 and 3.569 Å and the angles 90.00°, 90.00° and 90.00°. The asymmetric unit holds Mg at (0.000, 0.000, 0.000), Mo at (0.500, 0.500, 0.500) and H at (0.000, 0.500, 0.500).

As for the volume: 45.4 Å³/f.u.

---

Run B
A plane-wave DFT calculation with PBE was carried out for crystalline MgMoH3 at its relaxed geometry.

The structure belongs to space group Pm-3m (No. 221); the cell edges are 3.464, 3.464 and 3.464 Å and the angles 90.00°, 90.00° and 90.00°. The asymmetric unit holds Mg at (0.000, 0.000, 0.000), Mo at (0.500, 0.500, 0.500) and H at (0.000, 0.000, 0.500).

As for the volume: 41.5 Å³/f.u.

---

Pick run A: it beats the second-best structure by 0.631 eV/atom.